Entry 1:
LaNd3Ho PBE optimized geometry; energy above the lowest structure with this stoichiometry = 0.0 meV/atom; density = 6.976 g/cm³; size of the total moment = 0.0 μB/cell; E_tot = -45.8 eV per cell; Fermi-level density of states = 16.05 states/eV per cell
1.0
-5.242 -4.414 -0.710
3.084 -4.180 3.215
-2.311 7.190 5.787
La Nd Ho
2 6 2
direct
0.000 0.500 0.000 La
0.000 0.000 0.000 La
0.773 0.523 0.545 Nd
0.579 0.097 0.694 Nd
0.227 0.477 0.455 Nd
0.114 0.097 0.694 Nd
0.421 0.903 0.306 Nd
0.886 0.903 0.306 Nd
0.450 0.700 0.899 Ho
0.550 0.300 0.101 Ho

Entry 2:
La2Nd5Ho3 PBE optimized geometry; energy above the lowest structure with this stoichiometry = 0.0 meV/atom; density = 7.093 g/cm³; size of the total moment = 0.0 μB/cell; E_tot = -91.3 eV per cell; Fermi-level density of states = 33.97 states/eV per cell
1.0
-5.822 -2.934 -7.253
3.940 2.095 -8.716
4.525 -6.555 7.929
La Nd Ho
4 10 6
direct
0.784 0.023 0.753 La
0.216 0.977 0.247 La
0.469 0.730 0.753 La
0.531 0.270 0.247 La
0.282 0.532 0.065 Nd
0.718 0.468 0.935 Nd
0.021 0.771 0.543 Nd
0.518 0.268 0.536 Nd
0.979 0.229 0.457 Nd
0.482 0.732 0.464 Nd
0.875 0.616 0.766 Nd
0.125 0.384 0.234 Nd
0.391 0.150 0.766 Nd
0.609 0.850 0.234 Nd
0.227 0.977 0.954 Ho
0.773 0.023 0.046 Ho
0.732 0.464 0.242 Ho
0.268 0.536 0.758 Ho
0.010 0.778 0.242 Ho
0.990 0.222 0.758 Ho

Entry 3:
LaNd6Ho4 PBE optimized geometry; energy above the lowest structure with this stoichiometry = 144.3 meV/atom; density = 7.210 g/cm³; size of the total moment = 0.0 μB/cell; E_tot = -48.6 eV per cell; Fermi-level density of states = 18.27 states/eV per cell
1.0
-3.852 2.558 -8.878
1.759 -7.973 5.792
-2.377 -0.621 9.704
La Nd Ho
1 6 4
direct
0.000 0.000 0.000 La
0.000 0.815 0.455 Nd
0.000 0.455 0.815 Nd
0.360 0.545 0.545 Nd
0.500 0.500 0.000 Nd
0.640 0.185 0.185 Nd
0.500 0.000 0.500 Nd
0.000 0.635 0.008 Ho
0.372 0.365 0.365 Ho
0.000 0.008 0.635 Ho
0.628 0.992 0.992 Ho

Entry 4:
La10Nd4Ho PBE optimized geometry; density = 6.616 g/cm³; size of the total moment = 0.0 μB/cell; E_tot = -69.1 eV per cell; Fermi-level density of states = 21.69 states/eV per cell
1.0
9.583 0.000 4.327
4.792 7.132 2.164
1.856 0.000 8.664
La Nd Ho
10 4 1
direct
0.250 0.500 0.500 La
0.545 0.314 0.915 La
0.141 0.085 0.314 La
0.540 0.915 0.686 La
0.774 0.686 0.085 La
0.455 0.686 0.085 La
0.750 0.500 0.500 La
0.226 0.314 0.915 La
0.460 0.085 0.314 La
0.859 0.915 0.686 La
0.324 0.726 0.625 Nd
0.949 0.375 0.726 Nd
0.051 0.625 0.274 Nd
0.676 0.274 0.375 Nd
0.000 0.000 0.000 Ho